## SmLuPu4 (PBE)

Data for an optimized crystal structure of SmLuPu4.

Volume = 27.6 Å³ per atom
DFT total energy = -65.16 eV per cell
ΔE_f = 0.23 eV/atom

```
SmLuPu4
1.0
0.000 4.360 4.360
4.360 0.000 4.360
4.360 4.360 0.000
Sm Lu Pu
1 1 4
direct
0.000 0.000 0.000 Sm
0.750 0.750 0.750 Lu
0.375 0.375 0.375 Pu
0.375 0.375 0.875 Pu
0.375 0.875 0.375 Pu
0.875 0.375 0.375 Pu
```